Here is crystalline SmCoBr at its relaxed geometry from OQMD via LeMat-Bulk. Energies are from PBE.

Calculated values
density = 5.99 g/cm³
VASP energy = -32.9 eV per cell

abc: 11.9572 11.9572 11.9572
angles: 19.13 19.13 19.13
Last column: magnetic moment on the atom in μB.
Fractional positions:
Br  0.7235  0.7235  0.7235  0.00
Co  0.1652  0.1652  0.1652  0.33
Sm  0.5541  0.5541  0.5541  -0.04
Co  0.8348  0.8348  0.8348  0.33
Br  0.2765  0.2765  0.2765  0.00
Sm  0.4459  0.4459  0.4459  -0.04